The following is a DFT calculation (PBE) of a geometry-optimized Ac3InIr2 structure.

Cell: 8.7190 8.7190 8.7190 Å, 131.88 73.64 127.88°
Fractional coordinates of all 12 atoms:
Ac  0.0317  0.7500  0.2817
Ac  0.2500  0.2500  0.0000
Ac  0.4683  0.7500  0.7183
Ac  0.5317  0.2500  0.2817
Ac  0.7500  0.7500  0.0000
Ac  0.9683  0.2500  0.7183
In  0.0000  0.5000  0.5000
In  0.5000  0.0000  0.5000
Ir  0.1344  0.2157  0.3502
Ir  0.3656  0.7157  0.0813
Ir  0.6344  0.2843  0.9187
Ir  0.8656  0.7843  0.6498

Its space-group type is Ibam. For the final energy, the calculation gives -36.08 eV per formula unit. The formation energy is -0.5484 eV/atom. The magnetic moment is 0.00 μB per cell.

***

The following is a DFT calculation (PBE) of a geometry-optimized HfZr2Ge structure.

Cell: 6.3056 6.3056 6.3056 Å, 101.16 101.16 127.79°
Fractional coordinates of all 8 atoms:
Hf  0.0000  0.0000  0.0000
Hf  0.7500  0.2500  0.5000
Zr  0.1634  0.1250  0.5384
Zr  0.3750  0.8366  0.9616
Zr  0.5866  0.6250  0.4616
Zr  0.8750  0.4134  0.0384
Ge  0.2500  0.7500  0.5000
Ge  0.5000  0.5000  0.0000

Its space-group type is I-42d. For the final energy, the calculation gives -31.54 eV per formula unit. The formation energy is 0.0330 eV/atom. The magnetic moment is 0.00 μB per cell.

***

The following is a DFT calculation (PBE) of a geometry-optimized K2URuO6 structure.

Cell: 5.8177 5.8177 5.8177 Å, 60.00 60.00 60.00°
Fractional coordinates of all 10 atoms:
K  0.2500  0.2500  0.2500
K  0.7500  0.7500  0.7500
U  0.0000  0.0000  0.0000
Ru  0.5000  0.5000  0.5000
O  0.2553  0.2553  0.7447
O  0.2553  0.7447  0.2553
O  0.2553  0.7447  0.7447
O  0.7447  0.2553  0.2553
O  0.7447  0.2553  0.7447
O  0.7447  0.7447  0.2553

Its energy relative to the elements, uncorrected is -21.2 eV per formula unit. Its space-group type is Fm-3m. For the final energy, the calculation gives -73.67 eV per formula unit. The magnetic moment is 1.93 μB per cell.

***

The following is a DFT calculation (PBE) of a geometry-optimized Zn2PtPb structure.

Cell: 4.2130 4.2130 4.1428 Å, 90.00 90.00 90.00°
Fractional coordinates of all 4 atoms:
Zn  0.0000  0.5000  0.0000
Zn  0.5000  0.0000  0.0000
Pt  0.0000  0.0000  0.5000
Pb  0.5000  0.5000  0.5000

Its space-group type is P4/mmm. For the final energy, the calculation gives -12.15 eV per formula unit. The formation energy is 0.0357 eV/atom. The magnetic moment is 0.00 μB per cell.

***

The following is a DFT calculation (PBE) of a geometry-optimized LaThSc2 structure.

Cell: 3.5391 3.5391 9.3734 Å, 90.00 90.00 90.00°
Fractional coordinates of all 4 atoms:
La  0.0000  0.0000  0.0000
Th  0.0000  0.0000  0.5000
Sc  0.5000  0.5000  0.2611
Sc  0.5000  0.5000  0.7389

Its space-group type is P4/mmm. For the final energy, the calculation gives -24.90 eV per formula unit. The value obtained for the energy above the lowest structure with this stoichiometry is 0.000 eV/atom. The formation energy is 0.0264 eV/atom. The magnetic moment is 0.00 μB per cell.

***

The following is a DFT calculation (PBE) of a geometry-optimized Hf2AlGa4 structure.

Cell: 6.0768 6.8912 6.9793 Å, 87.67 72.49 73.30°
Fractional coordinates of all 14 atoms:
Hf  0.0000  0.0000  0.0000
Hf  0.0000  0.0000  0.5000
Hf  0.5000  0.0000  0.0000
Hf  0.5000  0.5000  0.0000
Al  0.2497  0.5236  0.4752
Al  0.7503  0.4764  0.5248
Ga  0.0098  0.3145  0.7648
Ga  0.1038  0.3014  0.1942
Ga  0.3941  0.8035  0.6986
Ga  0.4833  0.2342  0.6861
Ga  0.5167  0.7658  0.3139
Ga  0.6059  0.1965  0.3014
Ga  0.8962  0.6986  0.8058
Ga  0.9902  0.6855  0.2352

Its space-group type is P-1. For the final energy, the calculation gives -36.51 eV per formula unit. The value obtained for the energy above the lowest structure with this stoichiometry is 0.200 eV/atom. The formation energy is -0.1081 eV/atom. The magnetic moment is 0.00 μB per cell.

***

The following is a DFT calculation (PBE) of a geometry-optimized Ho2Al3Ge4 structure.

Cell: 7.9309 7.9309 7.9146 Å, 90.00 90.00 135.59°
Fractional coordinates of all 18 atoms:
Ho  0.1147  0.8853  0.9194
Ho  0.3853  0.6147  0.4194
Ho  0.6147  0.3853  0.5806
Ho  0.8853  0.1147  0.0806
Al  0.0000  0.0000  0.5000
Al  0.0341  0.4659  0.7500
Al  0.4659  0.0341  0.2500
Al  0.5000  0.5000  0.0000
Al  0.5341  0.9659  0.7500
Al  0.9659  0.5341  0.2500
Ge  0.1854  0.8146  0.5532
Ge  0.2061  0.2939  0.7500
Ge  0.2939  0.2061  0.2500
Ge  0.3146  0.6854  0.0532
Ge  0.6854  0.3146  0.9468
Ge  0.7061  0.7939  0.7500
Ge  0.7939  0.7061  0.2500
Ge  0.8146  0.1854  0.4468

Its space-group type is Cmce. For the final energy, the calculation gives -42.72 eV per formula unit. The formation energy is -0.4295 eV/atom. The magnetic moment is 0.00 μB per cell.

***

The following is a DFT calculation (PBE) of a geometry-optimized La4SnTe2Br structure.

Cell: 9.1115 9.1115 9.1115 Å, 119.94 119.93 90.11°
Fractional coordinates of all 16 atoms:
La  0.2530  0.2512  0.4982
La  0.2530  0.7549  0.0018
La  0.2552  0.2502  0.0050
La  0.2547  0.7498  0.5050
La  0.7453  0.2502  0.4950
La  0.7448  0.7498  0.9950
La  0.7470  0.2451  0.9982
La  0.7470  0.7488  0.5018
Sn  0.5000  0.0000  0.0000
Sn  0.5000  0.5000  0.5000
Te  0.0000  0.0000  0.0000
Te  0.0000  0.0000  0.5000
Te  0.0000  0.5000  0.0000
Te  0.5000  0.0000  0.5000
Br  0.0000  0.5000  0.5000
Br  0.5000  0.5000  0.0000

Its energy relative to the elements, uncorrected is -10.8 eV per formula unit. Its space-group type is Imma. For the final energy, the calculation gives -42.47 eV per formula unit. The magnetic moment is 0.00 μB per cell.

***

The following is a DFT calculation (PBE) of a geometry-optimized InSn2C structure.

Cell: 6.9376 6.9376 6.9376 Å, 128.37 128.37 76.02°
Fractional coordinates of all 8 atoms:
In  0.0000  0.0000  0.0000
In  0.7500  0.2500  0.5000
Sn  0.2116  0.6250  0.0866
Sn  0.3750  0.4616  0.5866
Sn  0.5384  0.1250  0.9134
Sn  0.8750  0.7884  0.4134
C  0.2500  0.7500  0.5000
C  0.5000  0.5000  0.0000

Its space-group type is I-42d. For the final energy, the calculation gives -17.25 eV per formula unit. The value obtained for the energy above the lowest structure with this stoichiometry is 0.000 eV/atom. The formation energy is 0.6804 eV/atom. The magnetic moment is 0.00 μB per cell.

***

The following is a DFT calculation (PBE) of a geometry-optimized Nd3Tm3Sc5 structure.

Cell: 10.7533 10.7533 3.2935 Å, 90.00 90.00 120.00°
Fractional coordinates of all 11 atoms:
Nd  0.0000  0.6639  0.0000
Nd  0.3361  0.3361  0.0000
Nd  0.6639  0.0000  0.0000
Tm  0.0000  0.4003  0.5000
Tm  0.4003  0.0000  0.5000
Tm  0.5997  0.5997  0.5000
Sc  0.0000  0.1533  0.0000
Sc  0.1533  0.0000  0.0000
Sc  0.3333  0.6667  0.0000
Sc  0.6667  0.3333  0.0000
Sc  0.8467  0.8467  0.0000

Its space-group type is P-62m. For the final energy, the calculation gives -55.44 eV per formula unit. The formation energy is 0.3573 eV/atom. The magnetic moment is 0.00 μB per cell.

***

The following is a DFT calculation (PBE) of a geometry-optimized InSi2I structure.

Cell: 8.3276 8.3276 8.3276 Å, 137.70 137.70 61.37°
Fractional coordinates of all 8 atoms:
In  0.0000  0.0000  0.0000
In  0.7500  0.2500  0.5000
Si  0.0868  0.6250  0.9618
Si  0.3750  0.3368  0.4618
Si  0.6632  0.1250  0.0382
Si  0.8750  0.9132  0.5382
I  0.2500  0.7500  0.5000
I  0.5000  0.5000  0.0000

Its energy relative to the elements, uncorrected is 3.1 eV per formula unit. Its space-group type is I-42d. For the final energy, the calculation gives -12.08 eV per formula unit. The value obtained for the energy above the lowest structure with this stoichiometry is 0.000 eV/atom. The magnetic moment is 0.00 μB per cell.

***

The following is a DFT calculation (PBE) of a geometry-optimized Cr2CoRu structure.

Cell: 2.8813 2.8813 5.8672 Å, 90.00 90.00 90.00°
Fractional coordinates of all 4 atoms:
Cr  0.0000  0.0000  0.0000
Cr  0.5000  0.5000  0.2298
Co  0.5000  0.5000  0.7722
Ru  0.0000  0.0000  0.4893

Its space-group type is P4mm. For the final energy, the calculation gives -35.01 eV per formula unit. The formation energy is 0.1543 eV/atom. The magnetic moment is 1.99 μB per cell.